No. 1
Compound: GaCuPd2
Source: the Alexandria database
Functional: PBE-GGA
Structure: relaxed

Results
DOS(E_F): 0.446 states/eV per atom
formation enthalpy at 0 K: -304 meV/atom

```
GaCuPd2
1.0
2.175 1.256 3.540
-2.175 1.256 3.540
0.000 -2.512 3.540
Ga Cu Pd
1 1 2
direct
0.000 0.000 0.000 Ga
0.250 0.250 0.250 Cu
0.500 0.500 0.500 Pd
0.750 0.750 0.750 Pd
```


No. 2
Compound: Ga2CuPd4
Source: the Alexandria database
Functional: PBE-GGA
Structure: relaxed

Results
DOS(E_F): 0.594 states/eV per atom
formation enthalpy at 0 K: -75 meV/atom

```
Ga2CuPd4
1.0
-1.873 1.873 9.154
1.873 -1.873 9.154
1.873 1.873 -9.154
Ga Cu Pd
2 1 4
direct
0.140 0.140 0.000 Ga
0.860 0.860 0.000 Ga
0.500 0.500 0.000 Cu
0.250 0.750 0.500 Pd
0.366 0.366 0.000 Pd
0.634 0.634 0.000 Pd
0.750 0.250 0.500 Pd
```


No. 3
Compound: Ga2CuPd2
Source: the Alexandria database
Functional: PBE-GGA
Structure: relaxed

Results
DOS(E_F): 0.295 states/eV per atom
formation enthalpy at 0 K: -392 meV/atom

```
Ga2CuPd2
1.0
6.997 0.000 0.000
0.000 6.997 0.000
0.000 0.000 3.097
Ga Cu Pd
4 2 4
direct
0.145 0.355 0.000 Ga
0.355 0.855 0.000 Ga
0.645 0.145 0.000 Ga
0.855 0.645 0.000 Ga
0.000 0.000 0.000 Cu
0.500 0.500 0.000 Cu
0.154 0.654 0.500 Pd
0.346 0.154 0.500 Pd
0.654 0.846 0.500 Pd
0.846 0.346 0.500 Pd
```


Q: DOS(E_F) of number 2 (Ga2CuPd4)?
A: 0.594 states/eV per atom


Q: What is the DOS(E_F) in the second record?
A: 0.594 states/eV per atom


Q: Look up the formation enthalpy at 0 K of the second one.
A: -75 meV/atom